1.
Computed, not measured: LiSm4Ga after structural relaxation at the GGA-PBE level of DFT.

Cell: 3.6765 5.3340 17.9575 Å, 90.00 95.88 90.00°
Fractional positions:
Sm: 0.9342 0.4035 0.8685
Sm: 0.6007 0.4043 0.2014
Sm: 0.3993 0.9043 0.7986
Sm: 0.0658 0.9035 0.1315
Sm: 0.7370 0.3981 0.4741
Sm: 0.2630 0.8981 0.5259
Sm: 0.3342 0.4093 0.6684
Sm: 0.6658 0.9093 0.3316
Ga: 0.1692 0.4131 0.3383
Ga: 0.8308 0.9131 0.6617
Li: 0.5152 0.4051 0.0303
Li: 0.4848 0.9051 0.9697

Output
**D(E_F)**: 13.31 states/eV per cell
**Total DFT energy (no corrections)**: -4.071 eV per atom

---

2.
Computed, not measured: NpB2Ir2 after structural relaxation at the GGA-PBE level of DFT.

Cell: 3.7827 4.0252 8.9062 Å, 93.98 90.00 90.00°
Each line ends with the local moment (μB).
Fractional positions:
B: 0.2500 0.7700 0.6344  -0.01
B: 0.2500 0.3256 0.9904  0.01
B: 0.7500 0.6744 0.0096  0.01
B: 0.7500 0.2300 0.3656  -0.01
Ir: 0.2500 0.2492 0.4969  -0.09
Ir: 0.7500 0.1830 0.1023  -0.11
Ir: 0.7500 0.7508 0.5031  -0.09
Ir: 0.2500 0.8170 0.8977  -0.11
Np: 0.2500 0.7073 0.2446  3.22
Np: 0.7500 0.2927 0.7554  3.22

Output
**D(E_F)**: 16.03 states/eV per cell
**Total DFT energy (no corrections)**: -9.155 eV per atom

---

3.
Computed, not measured: Y2MnTl3Se6 after structural relaxation at the GGA-PBE level of DFT.

Cell: 7.0509 7.0509 8.0344 Å, 98.75 98.75 119.37°
Each line ends with the local moment (μB).
Fractional positions:
Tl: 0.1754 0.8246 0.5000  0.00
Tl: 0.5000 0.5000 0.5000  0.01
Tl: 0.8246 0.1754 0.5000  0.00
Se: 0.2489 0.2489 0.7871  0.00
Se: 0.3720 0.0640 0.1938  -0.02
Se: 0.9360 0.6280 0.8062  -0.02
Se: 0.6280 0.9360 0.8062  -0.02
Se: 0.7511 0.7511 0.2129  0.00
Se: 0.0640 0.3720 0.1938  -0.02
Y: 0.6648 0.3352 0.0000  0.02
Y: 0.3352 0.6648 0.0000  0.02
Mn: 0.0000 0.0000 0.0000  3.85

Output
**D(E_F)**: 4.06 states/eV per cell
**Energy relative to the elements, uncorrected**: -1030 meV/atom